Entry 1:
Density functional theory data (PBE) for a relaxed ZrH3F crystal.

abc: 3.806 3.806 3.806
angles: 90.00 90.00 90.00
Sites, in units of the cell vectors:
1 H 0.500 0.000 0.000
2 Zr 0.000 0.000 0.000
3 H 0.000 0.000 0.500
4 F 0.500 0.500 0.500
5 H 0.000 0.500 0.000

Summary:
**Energy above the most stable polymorph in this dataset**: 0.00 eV per formula unit
**Space-group type**: No. 221
**Magnetic moment**: 0.00 μB per formula unit
**Calculated density**: 3.41 g cm⁻³


Entry 2:
Density functional theory data (PBE) for a relaxed TmTh2Ti crystal.

abc: 4.654 4.899 4.899
angles: 90.00 90.00 90.00
Sites, in units of the cell vectors:
1 Tm 0.500 0.500 0.500
2 Ti 0.500 0.000 0.000
3 Th 0.000 0.500 0.000
4 Th 0.000 0.000 0.500

Summary:
**Formation energy**: 0.194 eV/atom
**Energy above the most stable polymorph in this dataset**: 0.28 eV per formula unit
**Space-group type**: No. 123
**Magnetic moment**: 0.03 μB per formula unit
**Calculated density**: 10.12 g cm⁻³


Entry 3:
Density functional theory data (PBE) for a relaxed Dy5GeBi2 crystal.

abc: 5.934 5.753 16.285
angles: 90.00 90.00 121.04
Sites, in units of the cell vectors:
1 Bi 0.248 0.497 0.563
2 Dy 0.420 0.841 0.107
3 Dy 0.580 0.159 0.893
4 Bi 0.752 0.503 0.063
5 Dy 0.919 0.838 0.608
6 Dy 0.081 0.162 0.108
7 Dy 0.750 0.500 0.250
8 Dy 0.420 0.841 0.393
9 Dy 0.081 0.162 0.392
10 Dy 0.580 0.159 0.607
11 Bi 0.752 0.503 0.437
12 Bi 0.248 0.497 0.937
13 Ge 0.253 0.507 0.250
14 Dy 0.250 0.500 0.750
15 Ge 0.747 0.493 0.750
16 Dy 0.919 0.838 0.892

Summary:
**Formation energy**: -0.383 eV/atom
**Space-group type**: No. 63
**Magnetic moment**: 0.01 μB per formula unit
**Calculated density**: 9.08 g cm⁻³


Entry 4:
Density functional theory data (PBE) for a relaxed MnSnB2 crystal.

abc: 3.704 3.704 7.847
angles: 76.35 76.35 90.00
Sites, in units of the cell vectors:
1 B 0.875 0.625 0.750
2 B 0.375 0.625 0.750
3 B 0.375 0.625 0.250
4 Mn 0.500 0.500 0.000
5 B 0.375 0.125 0.250
6 Sn 0.750 0.250 0.500
7 Sn 0.000 0.000 0.000
8 Mn 0.250 0.750 0.500

Summary:
**Formation energy**: 0.473 eV/atom
**Space-group type**: No. 141
**Magnetic moment**: 1.59 μB per formula unit
**Calculated density**: 6.39 g cm⁻³


Entry 5:
Density functional theory data (PBE) for a relaxed Th2Al4InCu3 crystal.

abc: 4.253 4.253 10.652
angles: 90.00 90.00 90.00
Sites, in units of the cell vectors:
1 Th 0.500 0.000 0.240
2 Th 0.000 0.500 0.760
3 In 0.500 0.500 0.500
4 Cu 0.000 0.500 0.124
5 Al 0.000 0.000 0.000
6 Cu 0.500 0.000 0.876
7 Cu 0.000 0.000 0.500
8 Al 0.500 0.500 0.000
9 Al 0.500 0.000 0.652
10 Al 0.000 0.500 0.348

Summary:
**Formation energy**: -0.386 eV/atom
**Space-group type**: No. 115
**Magnetic moment**: 0.00 μB per formula unit
**Calculated density**: 7.56 g cm⁻³


Entry 6:
Density functional theory data (PBE) for a relaxed Li6PtAu5 crystal.

abc: 4.684 5.691 8.415
angles: 109.76 119.33 90.00
Sites, in units of the cell vectors:
1 Au 0.000 0.500 0.000
2 Li 0.158 0.917 0.326
3 Li 0.500 0.242 0.000
4 Li 0.842 0.083 0.674
5 Li 0.158 0.409 0.326
6 Au 0.670 0.668 0.336
7 Au 0.330 0.332 0.664
8 Pt 0.000 0.000 0.000
9 Li 0.842 0.591 0.674
10 Au 0.657 0.167 0.333
11 Au 0.343 0.833 0.667
12 Li 0.500 0.758 0.000

Summary:
**Formation energy**: -0.538 eV/atom
**Space-group type**: No. 12
**Magnetic moment**: 0.00 μB per formula unit
**Calculated density**: 11.25 g cm⁻³


Entry 7:
Density functional theory data (PBE) for a relaxed CaTaTl2 crystal.

abc: 6.017 6.017 6.017
angles: 137.93 137.93 61.02
Sites, in units of the cell vectors:
1 Tl 0.250 0.750 0.500
2 Tl 0.000 0.000 0.000
3 Ca 0.500 0.500 0.000
4 Ta 0.750 0.250 0.500

Summary:
**Formation energy**: 0.431 eV/atom
**Space-group type**: No. 119
**Magnetic moment**: 0.69 μB per formula unit
**Calculated density**: 10.81 g cm⁻³


Entry 8:
Density functional theory data (PBE) for a relaxed ReNCl2 crystal.

abc: 11.013 11.013 11.013
angles: 15.75 15.75 15.75
Sites, in units of the cell vectors:
1 Re 0.000 0.000 0.000
2 N 0.500 0.500 0.500
3 Cl 0.932 0.932 0.932
4 Cl 0.068 0.068 0.068

Summary:
**ΔE_f (raw)**: 1.41 eV per atom
**Energy above the most stable polymorph in this dataset**: 0.00 eV per formula unit
**Space-group type**: No. 166
**Magnetic moment**: 2.97 μB per formula unit
**Calculated density**: 5.25 g cm⁻³


Entry 9:
Density functional theory data (PBE) for a relaxed RbCdHg2 crystal.

abc: 5.395 10.596 9.943
angles: 90.00 105.74 90.00
Sites, in units of the cell vectors:
1 Rb 0.500 0.500 0.000
2 Hg 0.069 0.250 0.138
3 Rb 0.703 0.250 0.407
4 Cd 0.154 0.010 0.307
5 Hg 0.090 0.750 0.181
6 Hg 0.308 0.393 0.615
7 Hg 0.308 0.107 0.615
8 Hg 0.692 0.893 0.385
9 Hg 0.910 0.250 0.819
10 Hg 0.692 0.607 0.385
11 Rb 0.297 0.750 0.593
12 Cd 0.846 0.510 0.693
13 Rb 0.500 0.000 0.000
14 Hg 0.931 0.750 0.862
15 Cd 0.846 0.990 0.693
16 Cd 0.154 0.490 0.307

Summary:
**Formation energy**: -0.173 eV/atom
**Space-group type**: No. 63
**Magnetic moment**: 0.00 μB per formula unit
**Calculated density**: 7.27 g cm⁻³


Entry 10:
Density functional theory data (PBE) for a relaxed RbGaH crystal.

abc: 6.308 4.552 12.360
angles: 90.00 118.24 90.00
Sites, in units of the cell vectors:
1 H 0.866 0.500 0.348
2 H 0.134 0.500 0.652
3 Rb 0.155 0.000 0.405
4 H 0.134 0.000 0.152
5 Rb 0.845 0.000 0.595
6 Rb 0.845 0.500 0.095
7 Ga 0.435 0.000 0.207
8 Ga 0.435 0.500 0.707
9 Ga 0.565 0.000 0.793
10 H 0.866 0.000 0.848
11 Rb 0.155 0.500 0.905
12 Ga 0.565 0.500 0.293

Summary:
**Energy above the most stable polymorph in this dataset**: 0.11 eV per formula unit
**Space-group type**: No. 12
**Magnetic moment**: 0.00 μB per formula unit
**Calculated density**: 3.32 g cm⁻³


Entry 11:
Density functional theory data (PBE) for a relaxed CsRuNO2 crystal.

abc: 4.442 4.442 4.418
angles: 90.00 90.00 90.00
Sites, in units of the cell vectors:
1 O 0.000 0.500 0.000
2 N 0.000 0.000 0.500
3 O 0.500 0.000 0.000
4 Ru 0.500 0.500 0.500
5 Cs 0.000 0.000 0.000

Summary:
**ΔE_f (raw)**: 2.14 eV per atom
**Space-group type**: No. 123
**Magnetic moment**: 4.30 μB per formula unit
**Calculated density**: 5.33 g cm⁻³


Entry 12:
Density functional theory data (PBE) for a relaxed BeAs5 crystal.

abc: 5.980 5.980 6.580
angles: 88.32 88.32 35.96
Sites, in units of the cell vectors:
1 Be 0.307 0.307 0.879
2 As 0.647 0.647 0.116
3 As 0.959 0.959 0.114
4 As 0.698 0.698 0.746
5 As 0.920 0.920 0.743
6 As 0.301 0.301 0.235

Summary:
**Formation energy**: 0.124 eV/atom
**Energy above the most stable polymorph in this dataset**: 0.00 eV per formula unit
**Space-group type**: No. 8
**Magnetic moment**: 0.00 μB per formula unit
**Calculated density**: 4.61 g cm⁻³